Ba2CrSnO6 | PBE+U | optimized geometry

The structure belongs to space group Fm-3m (No. 225); the cell edges are 8.203, 8.203 and 8.203 Å and the angles 90.00°, 90.00° and 90.00°. The distinct sites, in fractional coordinates, are Ba at (0.250, 0.250, 0.250), Cr at (0.000, 0.000, 0.000), Sn at (0.000, 0.000, 0.500) and O at (0.000, 0.000, 0.245).

For the electronic total energy, the calculation gives -264.4 eV per cell. The density of states at the Fermi level comes out at 0.7563 states/eV per atom.